Below is an optimized crystal structure of ErSbN2O, with properties calculated at the PBE level.

Cell: 4.0095 4.0095 3.9148 Å, 90.00 90.00 90.00°
Last column: nearest neighbours and their distance in Å.
Fractional positions:
O (0.5000, 0.5000, 0.0000)  2 Sb 1.96
Sb (0.5000, 0.5000, 0.5000)  2 O 1.96, 4 N 2.00
Er (0.0000, 0.0000, 0.0000)  8 N 2.80, 4 O 2.84
N (0.0000, 0.5000, 0.5000)  2 Sb 2.00
N (0.5000, 0.0000, 0.5000)  2 Sb 2.00

Computed properties:
- Symmetry: No. 123

---

Below is an optimized crystal structure of Li4AlSbPd2, with properties calculated at the PBE level.

Cell: 4.3759 4.3759 6.2408 Å, 90.00 90.00 90.00°
Last column: nearest neighbours and their distance in Å.
Fractional positions:
Pd (0.5000, 0.0000, 0.7682)  4 Li 2.62-2.75, 2 Al 2.62, 2 Sb 2.75
Pd (0.0000, 0.5000, 0.2318)  4 Li 2.62-2.75, 2 Al 2.62, 2 Sb 2.75
Li (0.0000, 0.5000, 0.7607)  4 Li 2.65-2.73, 2 Al 2.65, 2 Sb 2.73, 1 Pd 2.94
Li (0.5000, 0.5000, 0.0000)  4 Pd 2.62, 4 Li 2.65
Li (0.5000, 0.0000, 0.2393)  4 Li 2.65-2.73, 2 Al 2.65, 2 Sb 2.73, 1 Pd 2.94
Li (0.0000, 0.0000, 0.5000)  4 Li 2.73, 4 Pd 2.75
Al (0.0000, 0.0000, 0.0000)  4 Pd 2.62, 4 Li 2.65
Sb (0.5000, 0.5000, 0.5000)  4 Li 2.73, 4 Pd 2.75

Computed properties:
- Symmetry: No. 115

---

Below is an optimized crystal structure of TmMoPd, with properties calculated at the PBE level.

Cell: 4.5646 4.5646 4.5646 Å, 60.00 60.00 60.00°
Last column: nearest neighbours and their distance in Å.
Fractional positions:
Mo (0.2500, 0.2500, 0.2500)  4 Tm 2.80
Pd (0.7500, 0.7500, 0.7500)  4 Tm 2.80
Tm (0.0000, 0.0000, 0.0000)  4 Mo 2.80, 4 Pd 2.80

Computed properties:
- Offset from the most stable computed form: 126 kJ/mol of formula units
- Symmetry: No. 216

---

Below is an optimized crystal structure of LuCoReB, with properties calculated at the PBE level.

Cell: 4.3407 4.3407 4.3407 Å, 60.00 60.00 60.00°
Last column: nearest neighbours and their distance in Å.
Fractional positions:
Lu (0.2500, 0.2500, 0.2500)  4 Re 2.66, 4 B 2.66
B (0.0000, 0.0000, 0.0000)  4 Lu 2.66, 4 Co 2.66
Co (0.7500, 0.7500, 0.7500)  4 Re 2.66, 4 B 2.66
Re (0.5000, 0.5000, 0.5000)  4 Lu 2.66, 4 Co 2.66

Computed properties:
- Offset from the most stable computed form: 44 kJ/mol of formula units
- Symmetry: No. 216

---

Asked for electronic total energy across the records above, the calculation gives -6.649 -3.824 -6.018 -6.826 eV/atom in order.